Entry 1:
# Sb2Pb2I PBE optimized geometry
data_Sb2Pb2I
_cell_length_a 5.886
_cell_length_b 5.886
_cell_length_c 10.292
_cell_angle_alpha 90.00
_cell_angle_beta 90.00
_cell_angle_gamma 90.00
_symmetry_space_group_name_H-M 'I 4/m m m'
_symmetry_Int_Tables_number 139
_symmetry_space_group_name_Hall '-I 4 2'
loop_
_atom_site_label
_atom_site_fract_x
_atom_site_fract_y
_atom_site_fract_z
Sb1 0.000 0.000 0.136
Pb1 0.000 0.500 0.250
I1 0.000 0.000 0.500
# - Spin magnetization: 0.0 μB/f.u.
# - Energy relative to the elements, uncorrected: -0.09 eV per atom
# - E above lowest polymorph: 55 meV/atom
# - Raw total energy: -3.5295 eV/atom

Entry 2:
# Sb4Pb6I PBE optimized geometry
data_Sb4Pb6I
_cell_length_a 4.543
_cell_length_b 15.263
_cell_length_c 22.679
_cell_angle_alpha 90.00
_cell_angle_beta 90.00
_cell_angle_gamma 90.00
_symmetry_space_group_name_H-M 'C m c m'
_symmetry_Int_Tables_number 63
_symmetry_space_group_name_Hall '-C 2c 2'
loop_
_atom_site_label
_atom_site_fract_x
_atom_site_fract_y
_atom_site_fract_z
Sb1 0.000 0.091 0.125
Sb2 0.000 0.370 0.051
Pb1 0.000 0.000 0.000
Pb2 0.000 0.159 0.250
Pb3 0.000 0.272 0.570
Pb4 0.000 0.472 0.172
I1 0.000 0.192 0.750
# - Spin magnetization: 0.0 μB/f.u.
# - Energy relative to the elements, uncorrected: -0.03 eV per atom
# - Raw total energy: -3.6970 eV/atom

Entry 3:
# Sb3Pb4I PBE optimized geometry
data_Sb3Pb4I
_cell_length_a 9.189
_cell_length_b 13.185
_cell_length_c 4.551
_cell_angle_alpha 90.00
_cell_angle_beta 90.00
_cell_angle_gamma 90.00
_symmetry_space_group_name_H-M 'C m m m'
_symmetry_Int_Tables_number 65
_symmetry_space_group_name_Hall '-C 2 2'
loop_
_atom_site_label
_atom_site_fract_x
_atom_site_fract_y
_atom_site_fract_z
Sb1 0.000 0.000 0.000
Sb2 0.250 0.250 0.500
Pb1 0.000 0.236 0.000
Pb2 0.229 0.000 0.500
I1 0.000 0.500 0.000
# - Spin magnetization: 0.0 μB/f.u.
# - Energy relative to the elements, uncorrected: -0.05 eV per atom
# - Raw total energy: -3.6483 eV/atom